1.
# GaTcP | Alexandria | PBE | relaxed
data_GaTcP
_chemical_formula_sum 'Ga4 Tc4 P4'
_cell_length_a 8.9385
_cell_length_b 3.1522
_cell_length_c 7.3296
_cell_angle_alpha 90.00
_cell_angle_beta 117.77
_cell_angle_gamma 90.00
_symmetry_space_group_name_H-M 'P 1'
_symmetry_Int_Tables_number 1
_symmetry_space_group_name_Hall 'P 1'
loop_
_atom_site_label
_atom_site_type_symbol
_atom_site_fract_x
_atom_site_fract_y
_atom_site_fract_z
_atom_site_occupancy
Ga1 Ga 0.0000 0.0000 0.0000 1
Ga2 Ga 0.0146 0.5000 0.6668 1
Ga3 Ga 0.5000 0.5000 0.0000 1
Ga4 Ga 0.5146 0.0000 0.6668 1
Tc1 Tc 0.0487 0.5000 0.3209 1
Tc2 Tc 0.2502 0.0000 0.9319 1
Tc3 Tc 0.5487 0.0000 0.3209 1
Tc4 Tc 0.7502 0.5000 0.9319 1
P1 P 0.2172 0.0000 0.5806 1
P2 P 0.2975 0.5000 0.2140 1
P3 P 0.7172 0.5000 0.5806 1
P4 P 0.7975 0.0000 0.2140 1
# Fermi-level density of states: 1.8 states/eV/f.u.
# Formation energy: -0.31 eV/atom
# SG: Cm

***

2.
# AcPuAgPd | Alexandria | PBE | relaxed
data_AcPuAgPd
_chemical_formula_sum 'Ac4 Pu4 Ag4 Pd4'
_cell_length_a 7.4989
_cell_length_b 7.4989
_cell_length_c 7.4989
_cell_angle_alpha 90.00
_cell_angle_beta 90.00
_cell_angle_gamma 90.00
_symmetry_space_group_name_H-M 'P 1'
_symmetry_Int_Tables_number 1
_symmetry_space_group_name_Hall 'P 1'
loop_
_atom_site_label
_atom_site_type_symbol
_atom_site_fract_x
_atom_site_fract_y
_atom_site_fract_z
_atom_site_occupancy
Ac1 Ac 0.0000 0.0000 0.0000 1
Ac2 Ac 0.0000 0.5000 0.5000 1
Ac3 Ac 0.5000 0.0000 0.5000 1
Ac4 Ac 0.5000 0.5000 0.0000 1
Pu1 Pu 0.0000 0.0000 0.5000 1
Pu2 Pu 0.0000 0.5000 0.0000 1
Pu3 Pu 0.5000 0.0000 0.0000 1
Pu4 Pu 0.5000 0.5000 0.5000 1
Ag1 Ag 0.2500 0.2500 0.7500 1
Ag2 Ag 0.2500 0.7500 0.2500 1
Ag3 Ag 0.7500 0.2500 0.2500 1
Ag4 Ag 0.7500 0.7500 0.7500 1
Pd1 Pd 0.2500 0.2500 0.2500 1
Pd2 Pd 0.2500 0.7500 0.7500 1
Pd3 Pd 0.7500 0.2500 0.7500 1
Pd4 Pd 0.7500 0.7500 0.2500 1
# Fermi-level density of states: 13.9 states/eV/f.u.
# Formation energy: -0.25 eV/atom
# SG: F-43m

***

3.
# LiZrBi2 | Alexandria | PBE | relaxed
data_LiZrBi2
_chemical_formula_sum 'Li4 Zr4 Bi8'
_cell_length_a 7.8470
_cell_length_b 7.8470
_cell_length_c 6.7468
_cell_angle_alpha 90.00
_cell_angle_beta 90.00
_cell_angle_gamma 90.00
_symmetry_space_group_name_H-M 'P 1'
_symmetry_Int_Tables_number 1
_symmetry_space_group_name_Hall 'P 1'
loop_
_atom_site_label
_atom_site_type_symbol
_atom_site_fract_x
_atom_site_fract_y
_atom_site_fract_z
_atom_site_occupancy
Li1 Li 0.0000 0.0000 0.0000 1
Li2 Li 0.0000 0.5000 0.2500 1
Li3 Li 0.5000 0.0000 0.7500 1
Li4 Li 0.5000 0.5000 0.5000 1
Zr1 Zr 0.0000 0.0000 0.5000 1
Zr2 Zr 0.0000 0.5000 0.7500 1
Zr3 Zr 0.5000 0.0000 0.2500 1
Zr4 Zr 0.5000 0.5000 0.0000 1
Bi1 Bi 0.2322 0.2500 0.1250 1
Bi2 Bi 0.2500 0.7322 0.3750 1
Bi3 Bi 0.2500 0.7678 0.8750 1
Bi4 Bi 0.2678 0.2500 0.6250 1
Bi5 Bi 0.7322 0.7500 0.6250 1
Bi6 Bi 0.7500 0.2322 0.8750 1
Bi7 Bi 0.7500 0.2678 0.3750 1
Bi8 Bi 0.7678 0.7500 0.1250 1
# Fermi-level density of states: 3.8 states/eV/f.u.
# Formation energy: -0.07 eV/atom
# SG: I-42d

***

| no. | E (eV/cell) |
| --- | --- |
| 1 | -78.98 |
| 2 | -109.94 |
| 3 | -74.08 |